# Pr5Ho2TmSc (PBE, relaxed)
# Final energy   -4.750 eV/atom
# Energy of formation   0.12 eV/atom
data_Pr5Ho2TmSc
_chemical_formula_sum 'Pr10 Ho4 Tm2 Sc2'
_cell_length_a 11.2773
_cell_length_b 11.2773
_cell_length_c 10.3084
_cell_angle_alpha 90.00
_cell_angle_beta 90.00
_cell_angle_gamma 152.32
_symmetry_space_group_name_H-M 'P 1'
_symmetry_Int_Tables_number 1
loop_
_symmetry_equiv_pos_as_xyz
'x,y,z'
loop_
_atom_site_label
_atom_site_fract_x
_atom_site_fract_y
_atom_site_fract_z
Pr1 0.9999 0.0001 0.0000
Pr2 0.0001 0.9999 0.5000
Pr3 0.1277 0.8723 0.7498
Pr4 0.2211 0.7789 0.0616
Pr5 0.2214 0.7786 0.4374
Pr6 0.5001 0.4999 0.2499
Pr7 0.4999 0.5001 0.7499
Pr8 0.7789 0.2211 0.5616
Pr9 0.7786 0.2214 0.9374
Pr10 0.8723 0.1277 0.2498
Ho1 0.3853 0.6147 0.5033
Ho2 0.3850 0.6150 0.9965
Ho3 0.6147 0.3853 0.0033
Ho4 0.6150 0.3850 0.4965
Tm1 0.1017 0.8983 0.2499
Tm2 0.8983 0.1017 0.7499
Sc1 0.2892 0.7108 0.7495
Sc2 0.7108 0.2892 0.2495


# Al2InSb (PBE, relaxed)
# Formation energy without anion corrections   0.269 eV/atom
# Distance to the lowest polymorph of the same formula   166 meV/atom
# Final energy   -3.318 eV/atom
data_Al2InSb
_chemical_formula_sum 'Al8 In4 Sb4'
_cell_length_a 7.1418
_cell_length_b 7.1418
_cell_length_c 7.1418
_cell_angle_alpha 90.00
_cell_angle_beta 90.00
_cell_angle_gamma 90.00
_symmetry_space_group_name_H-M 'P 1'
_symmetry_Int_Tables_number 1
loop_
_symmetry_equiv_pos_as_xyz
'x,y,z'
loop_
_atom_site_label
_atom_site_fract_x
_atom_site_fract_y
_atom_site_fract_z
Al1 0.0000 0.0000 0.0000
Al2 0.0000 0.5000 0.5000
Al3 0.2500 0.2500 0.2500
Al4 0.2500 0.7500 0.7500
Al5 0.5000 0.0000 0.5000
Al6 0.5000 0.5000 0.0000
Al7 0.7500 0.2500 0.7500
Al8 0.7500 0.7500 0.2500
In1 0.2500 0.2500 0.7500
In2 0.2500 0.7500 0.2500
In3 0.7500 0.2500 0.2500
In4 0.7500 0.7500 0.7500
Sb1 0.0000 0.0000 0.5000
Sb2 0.0000 0.5000 0.0000
Sb3 0.5000 0.0000 0.0000
Sb4 0.5000 0.5000 0.5000


# BaZnRh2 (PBE, relaxed)
# Final energy   -4.170 eV/atom
# Energy of formation   0.30 eV/atom
data_BaZnRh2
_chemical_formula_sum 'Ba2 Zn2 Rh4'
_cell_length_a 6.2146
_cell_length_b 9.1421
_cell_length_c 3.1226
_cell_angle_alpha 90.00
_cell_angle_beta 116.78
_cell_angle_gamma 90.00
_symmetry_space_group_name_H-M 'P 1'
_symmetry_Int_Tables_number 1
loop_
_symmetry_equiv_pos_as_xyz
'x,y,z'
loop_
_atom_site_label
_atom_site_fract_x
_atom_site_fract_y
_atom_site_fract_z
Ba1 0.0000 0.0000 0.0000
Ba2 0.5000 0.5000 0.0000
Zn1 0.0000 0.5000 0.0000
Zn2 0.5000 0.0000 0.0000
Rh1 0.2500 0.2500 0.5000
Rh2 0.2500 0.7500 0.5000
Rh3 0.7500 0.2500 0.5000
Rh4 0.7500 0.7500 0.5000


# Cr2HgRu (PBE, relaxed)
# Final energy   -6.652 eV/atom
# Energy of formation   0.55 eV/atom
data_Cr2HgRu
_chemical_formula_sum 'Cr6 Hg3 Ru3'
_cell_length_a 2.7577
_cell_length_b 2.7577
_cell_length_c 26.8450
_cell_angle_alpha 90.00
_cell_angle_beta 90.00
_cell_angle_gamma 120.00
_symmetry_space_group_name_H-M 'P 1'
_symmetry_Int_Tables_number 1
loop_
_symmetry_equiv_pos_as_xyz
'x,y,z'
loop_
_atom_site_label
_atom_site_fract_x
_atom_site_fract_y
_atom_site_fract_z
Cr1 0.0000 0.0000 0.2427
Cr2 0.0000 0.0000 0.7573
Cr3 0.3333 0.6667 0.4240
Cr4 0.3333 0.6667 0.9093
Cr5 0.6667 0.3333 0.0907
Cr6 0.6667 0.3333 0.5760
Hg1 0.0000 0.0000 0.0000
Hg2 0.3333 0.6667 0.6667
Hg3 0.6667 0.3333 0.3333
Ru1 0.0000 0.0000 0.5000
Ru2 0.3333 0.6667 0.1667
Ru3 0.6667 0.3333 0.8333


# PuSi2Hg2Au7 (PBE, relaxed)
# Formation energy without anion corrections   -0.095 eV/atom
# Final energy   -4.155 eV/atom
data_PuSi2Hg2Au7
_chemical_formula_sum 'Pu1 Si2 Hg2 Au7'
_cell_length_a 4.8092
_cell_length_b 4.8092
_cell_length_c 11.7017
_cell_angle_alpha 98.70
_cell_angle_beta 98.70
_cell_angle_gamma 95.14
_symmetry_space_group_name_H-M 'P 1'
_symmetry_Int_Tables_number 1
loop_
_symmetry_equiv_pos_as_xyz
'x,y,z'
loop_
_atom_site_label
_atom_site_fract_x
_atom_site_fract_y
_atom_site_fract_z
Pu1 0.0000 0.0000 0.0000
Si1 0.2718 0.2718 0.7756
Si2 0.7282 0.7282 0.2244
Hg1 0.1228 0.1228 0.3853
Hg2 0.8772 0.8772 0.6147
Au1 0.1741 0.5895 0.1825
Au2 0.4105 0.8259 0.8175
Au3 0.4162 0.4162 0.5990
Au4 0.5000 0.5000 0.0000
Au5 0.5838 0.5838 0.4010
Au6 0.5895 0.1741 0.1825
Au7 0.8259 0.4105 0.8175


# Tm2CdSi4Pt3 (PBE, relaxed)
# Formation energy without anion corrections   -0.854 eV/atom
# Final energy   -5.821 eV/atom
data_Tm2CdSi4Pt3
_chemical_formula_sum 'Tm2 Cd1 Si4 Pt3'
_cell_length_a 4.1172
_cell_length_b 4.1172
_cell_length_c 10.4889
_cell_angle_alpha 90.00
_cell_angle_beta 90.00
_cell_angle_gamma 90.00
_symmetry_space_group_name_H-M 'P 1'
_symmetry_Int_Tables_number 1
loop_
_symmetry_equiv_pos_as_xyz
'x,y,z'
loop_
_atom_site_label
_atom_site_fract_x
_atom_site_fract_y
_atom_site_fract_z
Tm1 0.0000 0.5000 0.2473
Tm2 0.5000 0.0000 0.7527
Cd1 0.0000 0.0000 0.5000
Si1 0.0000 0.0000 0.0000
Si2 0.0000 0.5000 0.6513
Si3 0.5000 0.0000 0.3487
Si4 0.5000 0.5000 0.0000
Pt1 0.0000 0.5000 0.8769
Pt2 0.5000 0.0000 0.1231
Pt3 0.5000 0.5000 0.5000


# La2TlTc (PBE, relaxed)
# Final energy   -5.726 eV/atom
# Energy of formation   -0.08 eV/atom
data_La2TlTc
_chemical_formula_sum 'La4 Tl2 Tc2'
_cell_length_a 4.6482
_cell_length_b 5.2984
_cell_length_c 8.9619
_cell_angle_alpha 90.00
_cell_angle_beta 90.00
_cell_angle_gamma 90.00
_symmetry_space_group_name_H-M 'P 1'
_symmetry_Int_Tables_number 1
loop_
_symmetry_equiv_pos_as_xyz
'x,y,z'
loop_
_atom_site_label
_atom_site_fract_x
_atom_site_fract_y
_atom_site_fract_z
La1 0.0000 0.0000 0.1991
La2 0.0000 0.0000 0.8009
La3 0.5000 0.5000 0.1991
La4 0.5000 0.5000 0.8009
Tl1 0.0000 0.5000 0.5000
Tl2 0.5000 0.0000 0.5000
Tc1 0.0000 0.5000 0.0000
Tc2 0.5000 0.0000 0.0000


# Mg6AlCr (PBE, relaxed)
# Distance to the lowest polymorph of the same formula   7 meV/atom
# Final energy   -2.748 eV/atom
# Energy of formation   0.12 eV/atom
data_Mg6AlCr
_chemical_formula_sum 'Mg12 Al2 Cr2'
_cell_length_a 5.0242
_cell_length_b 6.1287
_cell_length_c 10.7146
_cell_angle_alpha 90.00
_cell_angle_beta 90.00
_cell_angle_gamma 90.00
_symmetry_space_group_name_H-M 'P 1'
_symmetry_Int_Tables_number 1
loop_
_symmetry_equiv_pos_as_xyz
'x,y,z'
loop_
_atom_site_label
_atom_site_fract_x
_atom_site_fract_y
_atom_site_fract_z
Mg1 0.0000 0.0000 0.0000
Mg2 0.0000 0.0000 0.4983
Mg3 0.0000 0.2472 0.2551
Mg4 0.0000 0.2528 0.7551
Mg5 0.0000 0.5000 0.5000
Mg6 0.0000 0.5000 0.9983
Mg7 0.0000 0.7472 0.7551
Mg8 0.0000 0.7528 0.2551
Mg9 0.5000 0.2490 0.5861
Mg10 0.5000 0.2510 0.0861
Mg11 0.5000 0.7490 0.0861
Mg12 0.5000 0.7510 0.5861
Al1 0.5000 0.0000 0.8359
Al2 0.5000 0.5000 0.3359
Cr1 0.5000 0.0000 0.3366
Cr2 0.5000 0.5000 0.8366